No. 1
MoP2RhS | PBE | relaxed

```
data_MoP2RhS
_chemical_formula_sum 'Mo1 P2 Rh1 S1'
_symmetry_space_group_name_H-M 'P 4/m m m'
_symmetry_Int_Tables_number 123
_symmetry_space_group_name_Hall '-P 4 2'
_cell_length_a 4.463
_cell_length_b 4.463
_cell_length_c 4.619
_cell_angle_alpha 90.00
_cell_angle_beta 90.00
_cell_angle_gamma 90.00
loop_
_atom_site_label
_atom_site_fract_x
_atom_site_fract_y
_atom_site_fract_z
Mo1 0.000 0.000 0.000
P1 0.000 0.500 0.500
Rh1 0.500 0.500 0.500
S1 0.500 0.500 0.000
```

Computed properties:
E_form (uncorrected), eV per atom: 1.013

***

No. 2
SrMnCu3 | PBE | relaxed

```
data_SrMnCu3
_chemical_formula_sum 'Sr1 Mn1 Cu3'
_symmetry_space_group_name_H-M 'P m -3 m'
_symmetry_Int_Tables_number 221
_symmetry_space_group_name_Hall '-P 4 2 3'
_cell_length_a 5.024
_cell_length_b 5.024
_cell_length_c 5.024
_cell_angle_alpha 90.00
_cell_angle_beta 90.00
_cell_angle_gamma 90.00
loop_
_atom_site_label
_atom_site_fract_x
_atom_site_fract_y
_atom_site_fract_z
Sr1 0.000 0.000 0.000
Mn1 0.500 0.500 0.500
Cu1 0.000 0.000 0.500
```

Computed properties:
E_form, kJ per mole of atoms: 205.0

***

| no. | E above lowest polymorph (kJ/mol of atoms) |
| --- | --- |
| 1 | 24.4 |
| 2 | 167.4 |